{"formula": "CoTe2Pt", "functional": "GGA-PBE", "state": "optimized geometry", "magmom_total_mub_per_fu": 0.0, "polymorph_energy_mev_per_atom": 195, "cell": [[-4.534, -5.026, 4.604], [-2.356, -3.456, 7.037], [-5.360, -1.758, 5.933]], "species": ["Te", "Te", "Co", "Pt"], "fractional_positions": [[0.893, 0.893, 0.893], [0.107, 0.107, 0.107], [0.500, 0.500, 0.500], [0.000, 0.000, 0.000]]}

{"formula": "CoTePt2", "functional": "GGA-PBE", "state": "optimized geometry", "magmom_total_mub_per_fu": 1.7, "cell": [[-5.706, 6.174, -0.950], [-7.284, 3.785, -2.051], [-7.213, 4.315, 0.969]], "species": ["Co", "Pt", "Pt", "Te"], "fractional_positions": [[0.750, 0.750, 0.750], [0.006, 0.006, 0.006], [0.250, 0.250, 0.250], [0.493, 0.493, 0.493]]}

{"formula": "CoTePt2", "functional": "GGA-PBE", "state": "optimized geometry", "magmom_total_mub_per_fu": 1.4, "cell": [[4.533, 0.000, 0.000], [2.266, 3.925, 0.000], [2.266, 1.308, 3.701]], "species": ["Co", "Pt", "Pt", "Te"], "fractional_positions": [[0.500, 0.500, 0.500], [0.000, 0.000, 0.000], [0.250, 0.250, 0.250], [0.750, 0.750, 0.750]]}

{"formula": "CoTePt2", "functional": "GGA-PBE", "state": "optimized geometry", "magmom_total_mub_per_fu": 1.6, "cell": [[-0.252, -0.232, 4.777], [-3.424, -0.530, 3.307], [0.083, -4.308, 0.695]], "species": ["Co", "Pt", "Pt", "Te"], "fractional_positions": [[0.750, 0.750, 0.750], [0.004, 0.004, 0.986], [0.496, 0.496, 0.514], [0.250, 0.250, 0.250]]}

Number 1: uncorrected energy -4.7679 eV/atom, uncorrected formation energy 90 meV/atom. Number 2: uncorrected energy -5.2590 eV/atom, uncorrected formation energy 323 meV/atom. Number 3: uncorrected energy -5.3886 eV/atom, uncorrected formation energy 194 meV/atom. Number 4: uncorrected energy -5.4492 eV/atom, uncorrected formation energy 133 meV/atom.